{"formula": "AcIn9Rh2", "functional": "PBE", "state": "optimized geometry", "ef_kj_per_mol_fu": -229, "magnetic_moment_mub_per_cell": 0.0, "dos_at_fermi_per_ev_atom": 0.521, "total_energy_ev_per_cell": -91.67, "lattice": [[-0.348, 5.923, 4.608], [-7.901, 0.241, 5.217], [3.791, -1.642, 8.522]], "species": ["Rh", "Rh", "Rh", "Rh", "In", "In", "In", "In", "In", "In", "In", "In", "In", "In", "In", "In", "In", "In", "In", "In", "In", "In", "Ac", "Ac"], "frac_coords": [[0.375, 0.750, 0.750], [0.875, 0.750, 0.250], [0.875, 0.250, 0.750], [0.875, 0.250, 0.250], [0.757, 0.569, 0.809], [0.750, 0.500, 0.500], [0.993, 0.691, 0.931], [0.076, 0.309, 0.931], [0.135, 0.191, 0.431], [0.674, 0.191, 0.569], [0.674, 0.569, 0.191], [0.000, 0.000, 0.000], [0.135, 0.431, 0.191], [0.615, 0.309, 0.069], [0.076, 0.931, 0.309], [0.757, 0.809, 0.569], [0.615, 0.069, 0.309], [0.434, 0.809, 0.431], [0.434, 0.431, 0.809], [0.316, 0.691, 0.069], [0.316, 0.069, 0.691], [0.993, 0.931, 0.691], [0.500, 0.000, 0.000], [0.250, 0.500, 0.500]]}